Entry 1:
Below is an optimized crystal structure of Na4Pb3O8, with properties calculated at the PBE level.

Geometry as POSCAR:
```
Na4Pb3O8
1.0
-0.8149 0.3593 6.6403
0.7050 -5.4976 3.7638
5.7764 -0.5230 4.1170
O Na Pb
8 4 3
direct
0.7440 0.7440 0.2997 O
0.7664 0.7664 0.7007 O
0.2122 0.7440 0.2997 O
0.7878 0.2560 0.7003 O
0.2336 0.2336 0.2993 O
0.2560 0.2560 0.7003 O
0.2560 0.7878 0.7003 O
0.7440 0.2122 0.2997 O
0.0000 0.0000 0.0000 Na
0.3577 0.3577 0.9270 Na
0.6423 0.6423 0.0730 Na
0.5000 0.5000 0.5000 Na
0.0000 0.5000 0.5000 Pb
0.5000 0.0000 0.5000 Pb
0.0000 0.0000 0.5000 Pb
```

## Properties
For the energy, the calculation gives -0.182 hartree per atom. The crystal system is trigonal. As for the raw formation energy: -1207 meV/atom.

Entry 2:
Below is an optimized crystal structure of NaPbO2, with properties calculated at the PBE level.

Geometry as POSCAR:
```
NaPbO2
1.0
-2.0293 -1.5991 -2.4950
3.4135 -1.0175 0.4610
-1.7665 -4.0884 4.0570
O Pb Na
2 1 1
direct
0.3333 0.6667 0.8101 O
0.6667 0.3333 0.2200 O
0.0000 0.0000 0.9920 Pb
0.3333 0.6667 0.4329 Na
```

## Properties
For the energy, the calculation gives -0.178 hartree per atom. The crystal system is trigonal. As for the raw formation energy: -1094 meV/atom.

Entry 3:
Below is an optimized crystal structure of Na3PbO, with properties calculated at the PBE level.

Geometry as POSCAR:
```
Na3PbO
1.0
-1.3522 2.4150 3.8834
-4.5445 -0.2569 -1.4226
-0.5112 -4.1041 2.3742
O Na Pb
1 3 1
direct
0.0000 0.0000 0.0000 O
0.5000 0.0000 0.0000 Na
0.0000 0.5000 0.0000 Na
0.0000 0.0000 0.5000 Na
0.5000 0.5000 0.5000 Pb
```

## Properties
For the energy, the calculation gives -0.113 hartree per atom. The energy above the lowest structure with this stoichiometry is 0.073 eV per atom. The crystal system is cubic. As for the raw formation energy: -558 meV/atom.

Entry 4:
Below is an optimized crystal structure of NaPbO2, with properties calculated at the PBE level.

Geometry as POSCAR:
```
NaPbO2
1.0
7.2189 0.0000 0.0000
0.0000 8.0061 0.0000
0.0000 0.0000 4.8322
O Na Pb
8 4 4
direct
0.4279 0.8940 0.0625 O
0.5929 0.6418 0.5625 O
0.5721 0.1060 0.5625 O
0.4071 0.3582 0.0625 O
0.0721 0.3940 0.5625 O
0.0929 0.8582 0.5625 O
0.9071 0.1418 0.0625 O
0.9279 0.6060 0.0625 O
0.4150 0.3853 0.5624 Na
0.5850 0.6147 0.0624 Na
0.9150 0.1147 0.5624 Na
0.0850 0.8853 0.0624 Na
0.4098 0.8638 0.5625 Pb
0.5902 0.1362 0.0625 Pb
0.0902 0.3638 0.0625 Pb
0.9098 0.6362 0.5625 Pb
```

## Properties
For the energy, the calculation gives -0.181 hartree per atom. The crystal system is orthorhombic. As for the raw formation energy: -1176 meV/atom.

Entry 5:
Below is an optimized crystal structure of NaPbO2, with properties calculated at the PBE level.

Geometry as POSCAR:
```
NaPbO2
1.0
-2.3336 2.2282 -8.1348
-1.0302 -2.8500 8.2099
-0.7333 4.1294 1.3415
Pb O Na
2 4 2
direct
0.6736 0.3264 0.7500 Pb
0.3264 0.6736 0.2500 Pb
0.8041 0.1959 0.7500 O
0.0800 0.9200 0.7500 O
0.9200 0.0800 0.2500 O
0.1959 0.8041 0.2500 O
0.9421 0.0579 0.7500 Na
0.0579 0.9421 0.2500 Na
```

## Properties
For the energy, the calculation gives -0.171 hartree per atom. The crystal system is orthorhombic. As for the raw formation energy: -923 meV/atom.

Entry 6:
Below is an optimized crystal structure of Na5Pb2O5, with properties calculated at the PBE level.

Geometry as POSCAR:
```
Na5Pb2O5
1.0
3.4114 0.0000 0.0000
-1.7057 5.6734 -0.3431
0.0000 -3.2940 10.2267
O Pb Na
5 2 5
direct
0.3205 0.6410 0.2374 O
0.6795 0.3590 0.7626 O
0.8996 0.7993 0.5944 O
0.0000 0.0000 0.0000 O
0.1004 0.2007 0.4056 O
0.9486 0.8971 0.2129 Pb
0.0514 0.1029 0.7871 Pb
0.3526 0.7052 0.9145 Na
0.5000 0.0000 0.5000 Na
0.6474 0.2948 0.0855 Na
0.7397 0.4793 0.3830 Na
0.2603 0.5207 0.6170 Na
```

## Properties
For the energy, the calculation gives -0.162 hartree per atom. The crystal system is monoclinic. As for the raw formation energy: -1182 meV/atom.

Entry 7:
Below is an optimized crystal structure of Na14Pb2O9, with properties calculated at the PBE level.

Geometry as POSCAR:
```
Na14Pb2O9
1.0
7.0797 0.0000 0.0000
-3.5399 6.1312 0.0000
0.0000 0.0000 9.5513
Na O Pb
14 9 2
direct
0.9390 0.2990 0.0939 Na
0.0658 0.3775 0.5876 Na
0.0000 0.0000 0.7408 Na
0.6883 0.0658 0.4124 Na
0.3599 0.0610 0.0939 Na
0.6401 0.9390 0.9061 Na
0.2990 0.3599 0.9061 Na
0.3117 0.9342 0.5876 Na
0.9342 0.6225 0.4124 Na
0.7010 0.6401 0.0939 Na
0.0000 0.0000 0.2592 Na
0.6225 0.6883 0.5876 Na
0.0610 0.7010 0.9061 Na
0.3775 0.3117 0.4124 Na
0.6910 0.0251 0.6607 O
0.3333 0.6667 0.0160 O
0.9749 0.6659 0.6607 O
0.0000 0.0000 0.0000 O
0.6667 0.3333 0.9840 O
0.6659 0.6910 0.3393 O
0.0251 0.3341 0.3393 O
0.3090 0.9749 0.3393 O
0.3341 0.3090 0.6607 O
0.6667 0.3333 0.7420 Pb
0.3333 0.6667 0.2580 Pb
```

## Properties
For the energy, the calculation gives -0.147 hartree per atom. The crystal system is trigonal. As for the raw formation energy: -1182 meV/atom.

Entry 8:
Below is an optimized crystal structure of Na5PbO4, with properties calculated at the PBE level.

Geometry as POSCAR:
```
Na5PbO4
1.0
-2.2033 -1.7116 2.3598
5.0284 -3.2862 2.3115
-0.3476 7.2491 2.1040
O Na Pb
4 5 1
direct
0.6920 0.1923 0.3840 O
0.3080 0.8077 0.6160 O
0.9999 0.2451 0.9998 O
0.0001 0.7549 0.0002 O
0.5000 0.5000 0.0000 Na
0.1729 0.9457 0.3458 Na
0.1727 0.4007 0.3455 Na
0.8271 0.0543 0.6542 Na
0.8273 0.5993 0.6545 Na
0.5000 0.0000 0.0000 Pb
```

## Properties
For the energy, the calculation gives -0.154 hartree per atom. The energy above the lowest structure with this stoichiometry is 0.052 eV per atom. The crystal system is orthorhombic. As for the raw formation energy: -1186 meV/atom.

Entry 9:
Below is an optimized crystal structure of NaPbO3, with properties calculated at the PBE level.

Geometry as POSCAR:
```
NaPbO3
1.0
4.2104 0.0000 0.0000
0.0000 4.2104 0.0000
0.0000 0.0000 4.2104
O Pb Na
3 1 1
direct
0.5000 0.0000 0.0000 O
0.0000 0.5000 0.0000 O
0.0000 0.0000 0.5000 O
0.5000 0.5000 0.5000 Pb
0.0000 0.0000 0.0000 Na
```

## Properties
For the energy, the calculation gives -0.149 hartree per atom. The crystal system is cubic. As for the raw formation energy: -72 meV/atom.

Entry 10:
Below is an optimized crystal structure of Na5Pb3O8, with properties calculated at the PBE level.

Geometry as POSCAR:
```
Na5Pb3O8
1.0
-5.6819 3.1028 -2.1473
-5.9706 -1.3565 3.0057
-2.9926 4.7389 3.9333
Na Pb O
5 3 8
direct
0.5000 0.5000 0.0000 Na
0.0000 0.0000 0.0000 Na
0.0000 0.5000 0.0000 Na
0.5000 0.0000 0.0000 Na
0.5000 0.5000 0.5000 Na
0.5000 0.0000 0.5000 Pb
0.0000 0.5000 0.5000 Pb
0.0000 0.0000 0.5000 Pb
0.2436 0.2436 0.2691 O
0.7496 0.7496 0.2836 O
0.7827 0.2504 0.7164 O
0.7496 0.2173 0.2836 O
0.2504 0.2504 0.7164 O
0.7564 0.7564 0.7309 O
0.2173 0.7496 0.2836 O
0.2504 0.7827 0.7164 O
```

## Properties
For the energy, the calculation gives -0.178 hartree per atom. The crystal system is trigonal. As for the raw formation energy: -1269 meV/atom.

Entry 11:
Below is an optimized crystal structure of NaPbO2, with properties calculated at the PBE level.

Geometry as POSCAR:
```
NaPbO2
1.0
-1.0961 -2.7919 1.8679
3.8208 -2.2716 -1.1531
1.6242 1.2766 2.8661
O Pb Na
2 1 1
direct
0.5302 0.2122 0.4340 O
0.0298 0.7122 0.9336 O
0.0298 0.2122 0.9334 Pb
0.5297 0.7123 0.4334 Na
```

## Properties
For the energy, the calculation gives -0.180 hartree per atom. The crystal system is tetragonal. As for the raw formation energy: -1159 meV/atom.

Entry 12:
Below is an optimized crystal structure of Na3PbO, with properties calculated at the PBE level.

Geometry as POSCAR:
```
Na3PbO
1.0
-5.5775 -1.9046 -0.0279
0.6723 -1.8877 -5.5427
1.7822 -5.2484 2.0036
Na Pb O
3 1 1
direct
0.0000 0.0000 0.5000 Na
0.5000 0.0000 0.0000 Na
0.0000 0.5000 0.0000 Na
0.0000 0.0000 0.0000 Pb
0.5000 0.5000 0.5000 O
```

## Properties
For the energy, the calculation gives -0.072 hartree per atom. The energy above the lowest structure with this stoichiometry is 1.185 eV per atom. The crystal system is cubic. As for the raw formation energy: 554 meV/atom.

Entry 13:
Below is an optimized crystal structure of NaPbO2, with properties calculated at the PBE level.

Geometry as POSCAR:
```
NaPbO2
1.0
-10.0733 0.1650 0.9336
9.2908 -3.6584 -1.6329
0.3667 -0.9062 4.1170
O Pb Na
4 2 2
direct
0.9429 0.0571 0.2500 O
0.1858 0.8142 0.2500 O
0.8142 0.1858 0.7500 O
0.0571 0.9429 0.7500 O
0.9197 0.0803 0.7500 Pb
0.0803 0.9197 0.2500 Pb
0.7002 0.2998 0.7500 Na
0.2998 0.7002 0.2500 Na
```

## Properties
For the energy, the calculation gives -0.169 hartree per atom. The crystal system is orthorhombic. As for the raw formation energy: -852 meV/atom.

Entry 14:
Below is an optimized crystal structure of NaPbO2, with properties calculated at the PBE level.

Geometry as POSCAR:
```
NaPbO2
1.0
-0.3350 3.3148 -1.0523
-1.3999 0.7089 -3.1218
-6.0007 1.5825 1.0949
O Pb Na
2 1 1
direct
0.0757 0.0757 0.7730 O
0.2621 0.2621 0.2136 O
0.6679 0.6679 0.9963 Pb
0.4943 0.4943 0.5171 Na
```

## Properties
For the energy, the calculation gives -0.177 hartree per atom. The crystal system is trigonal. As for the raw formation energy: -1069 meV/atom.

Entry 15:
Below is an optimized crystal structure of Na4PbO4, with properties calculated at the PBE level.

Geometry as POSCAR:
```
Na4PbO4
1.0
-1.7922 -2.5732 -1.3785
2.0594 -5.0563 2.5053
-4.9187 -1.5988 5.1234
Na Pb O
4 1 4
direct
0.8676 0.8694 0.3953 Na
0.7066 0.4098 0.1769 Na
0.1324 0.1306 0.6047 Na
0.2934 0.5902 0.8231 Na
0.5000 0.0000 0.0000 Pb
0.3005 0.1227 0.2764 O
0.0759 0.7361 0.1120 O
0.9241 0.2639 0.8880 O
0.6995 0.8773 0.7236 O
```

## Properties
For the energy, the calculation gives -0.165 hartree per atom. The crystal system is monoclinic. As for the raw formation energy: -1281 meV/atom.

Entry 16:
Below is an optimized crystal structure of NaPbO2, with properties calculated at the PBE level.

Geometry as POSCAR:
```
NaPbO2
1.0
6.6227 0.0181 -0.2132
-0.9714 3.4363 0.0089
0.1467 0.0258 6.0853
O Pb Na
4 2 2
direct
0.6191 0.5463 0.2280 O
0.2123 0.8431 0.7760 O
0.3780 0.4261 0.2287 O
0.7847 0.1292 0.6806 O
0.9134 0.6936 0.4855 Pb
0.0836 0.2787 0.9711 Pb
0.4498 0.9619 0.4707 Na
0.5472 0.0105 0.9862 Na
```

## Properties
For the energy, the calculation gives -0.177 hartree per atom. The crystal system is monoclinic. As for the raw formation energy: -1068 meV/atom.

Entry 17:
Below is an optimized crystal structure of NaPb2O3, with properties calculated at the PBE level.

Geometry as POSCAR:
```
NaPb2O3
1.0
4.8902 0.0000 0.0000
0.0000 3.6244 0.0000
-2.4451 -1.8122 5.4555
O Pb Na
3 2 1
direct
0.0000 0.1244 0.0000 O
0.3247 0.4491 0.6494 O
0.6753 0.7997 0.3506 O
0.8398 0.4631 0.6796 Pb
0.1602 0.7834 0.3204 Pb
0.5000 0.1231 0.0000 Na
```

## Properties
For the energy, the calculation gives -0.185 hartree per atom. The crystal system is orthorhombic. As for the raw formation energy: -1090 meV/atom.

Entry 18:
Below is an optimized crystal structure of NaPb3O, with properties calculated at the PBE level.

Geometry as POSCAR:
```
NaPb3O
1.0
5.1154 0.0000 0.0000
0.0000 5.1154 0.0000
0.0000 0.0000 5.1154
Pb Na O
3 1 1
direct
0.0000 0.0000 0.5000 Pb
0.0000 0.5000 0.0000 Pb
0.5000 0.0000 0.0000 Pb
0.5000 0.5000 0.5000 Na
0.0000 0.0000 0.0000 O
```

## Properties
For the energy, the calculation gives -0.139 hartree per atom. The energy above the lowest structure with this stoichiometry is 0.000 eV per atom. The crystal system is cubic. As for the raw formation energy: -315 meV/atom.

Entry 19:
Below is an optimized crystal structure of NaPbO3, with properties calculated at the PBE level.

Geometry as POSCAR:
```
NaPbO3
1.0
-1.4424 3.1266 2.4484
-3.5244 -2.2082 0.7436
1.8299 -1.7885 3.3621
Pb Na O
1 1 3
direct
0.0000 0.0000 0.0000 Pb
0.5000 0.5000 0.5000 Na
0.0000 0.5000 0.0000 O
0.5000 0.0000 0.0000 O
0.0000 0.0000 0.5000 O
```

## Properties
For the energy, the calculation gives -0.171 hartree per atom. The crystal system is cubic. As for the raw formation energy: -663 meV/atom.

Entry 20:
Below is an optimized crystal structure of NaPbO3, with properties calculated at the PBE level.

Geometry as POSCAR:
```
NaPbO3
1.0
5.8298 -0.4425 -0.3948
0.1097 7.3565 -0.9964
0.1097 -0.1552 7.4221
Pb O Na
4 12 4
direct
0.2500 0.0816 0.9184 Pb
0.7500 0.2217 0.7783 Pb
0.2500 0.7783 0.2217 Pb
0.7500 0.9184 0.0816 Pb
0.4291 0.0926 0.6725 O
0.6999 0.4800 0.6653 O
0.0709 0.3275 0.9074 O
0.3001 0.5200 0.3347 O
0.3993 0.8085 0.9450 O
0.1007 0.0550 0.1915 O
0.8001 0.3347 0.5200 O
0.6007 0.1915 0.0550 O
0.8993 0.9450 0.8085 O
0.5709 0.9074 0.3275 O
0.1999 0.6653 0.4800 O
0.9291 0.6725 0.0926 O
0.9171 0.4030 0.2365 Na
0.0829 0.5970 0.7635 Na
0.5829 0.7635 0.5970 Na
0.4171 0.2365 0.4030 Na
```

## Properties
For the energy, the calculation gives -0.180 hartree per atom. The crystal system is monoclinic. As for the raw formation energy: -912 meV/atom.

Entry 21:
Below is an optimized crystal structure of NaPb3O, with properties calculated at the PBE level.

Geometry as POSCAR:
```
NaPb3O
1.0
5.4518 0.0000 0.0000
0.0000 5.4518 0.0000
0.0000 0.0000 5.4518
Pb Na O
3 1 1
direct
0.0000 0.0000 0.5000 Pb
0.5000 0.0000 0.0000 Pb
0.0000 0.5000 0.0000 Pb
0.0000 0.0000 0.0000 Na
0.5000 0.5000 0.5000 O
```

## Properties
For the energy, the calculation gives -0.095 hartree per atom. The energy above the lowest structure with this stoichiometry is 1.213 eV per atom. The crystal system is cubic. As for the raw formation energy: 898 meV/atom.

Entry 22:
Below is an optimized crystal structure of Na2PbO, with properties calculated at the PBE level.

Geometry as POSCAR:
```
Na2PbO
1.0
0.0000 3.4911 3.4911
3.4911 0.0000 3.4911
3.4911 3.4911 0.0000
O Na Pb
1 2 1
direct
0.0000 0.0000 0.0000 O
0.7500 0.7500 0.7500 Na
0.2500 0.2500 0.2500 Na
0.5000 0.5000 0.5000 Pb
```

## Properties
For the energy, the calculation gives -0.104 hartree per atom. The energy above the lowest structure with this stoichiometry is 0.567 eV per atom. The crystal system is cubic. As for the raw formation energy: -8 meV/atom.

Entry 23:
Below is an optimized crystal structure of Na3Pd2PbO6, with properties calculated at the PBE level.

Geometry as POSCAR:
```
Na3Pd2PbO6
1.0
5.6125 0.2933 -0.1491
-2.5508 5.0079 -0.1491
-1.1533 -1.9969 5.5841
Pd O Na Pb
2 6 3 1
direct
0.6658 0.3342 0.0000 Pd
0.3342 0.6658 0.0000 Pd
0.3756 0.0231 0.2328 O
0.6244 0.9769 0.7672 O
0.0231 0.3756 0.2328 O
0.2801 0.2801 0.7976 O
0.7199 0.7199 0.2024 O
0.9769 0.6244 0.7672 O
0.8282 0.1718 0.5000 Na
0.1718 0.8282 0.5000 Na
0.5000 0.5000 0.5000 Na
0.0000 0.0000 0.0000 Pb
```

## Properties
For the energy, the calculation gives -0.182 hartree per atom. The crystal system is monoclinic. As for the raw formation energy: -960 meV/atom.